DFT (PBE-GGA) results for a geometry-optimized Zn2Pd7 structure.

The structure in extended XYZ format:
```
9
Lattice="-2.3494 -1.0041 -1.1232 0.2036 0.3078 2.7664 -11.7063 30.1839 -2.4967" Properties=species:S:1:pos:R:3 pbc="T T T"
Pd -2.3177 1.5457 -0.0014
Pd -2.2905 4.1071 1.1195
Pd -2.4802 6.3952 -0.5290
Pd 0.0000 0.0000 0.0000
Pd -9.2260 23.7888 -1.9677
Pd -11.5616 25.3805 -1.9729
Pd -11.5344 27.9419 -0.8521
Zn -9.1239 21.7266 -0.3379
Zn -4.7282 7.7610 -0.5155
```

* DFT formation energy: -0.037 eV per atom
* crystal system: trigonal
* volume: 219.0 Å³/f.u.